[1]
Below is crystalline HoMg5Pb6 at its relaxed geometry, with properties calculated at the GGA-PBE level.

Calculated values
formation enthalpy at 0 K	-0.101	eV/atom
volume	27.13	Å³/atom

Cell lengths 7.1857, 7.1857, 6.4490 Å; angles 97.74, 97.74, 94.07 degrees
Sites, in units of the cell vectors:
Ho  0.0000  0.0000  0.0000
Mg  0.1630  0.8370  0.5000
Mg  0.3353  0.6647  0.0000
Mg  0.5000  0.5000  0.5000
Mg  0.6647  0.3353  0.0000
Mg  0.8370  0.1630  0.5000
Pb  0.0868  0.4253  0.2563
Pb  0.2549  0.2549  0.7508
Pb  0.4253  0.0868  0.2563
Pb  0.5747  0.9132  0.7437
Pb  0.7451  0.7451  0.2492
Pb  0.9132  0.5747  0.7437

[2]
Below is crystalline Sm12DySc6 at its relaxed geometry, with properties calculated at the GGA-PBE level.

Calculated values
formation enthalpy at 0 K	0.273	eV/atom
volume	31.99	Å³/atom

Cell lengths 8.9791, 8.9791, 8.9791 Å; angles 106.70, 106.70, 106.70 degrees
Sites, in units of the cell vectors:
Sm  0.1336  0.8271  0.2788
Sm  0.1729  0.7212  0.8664
Sm  0.1952  0.5722  0.4794
Sm  0.2788  0.1336  0.8271
Sm  0.4278  0.5206  0.8048
Sm  0.4794  0.1952  0.5722
Sm  0.5206  0.8048  0.4278
Sm  0.5722  0.4794  0.1952
Sm  0.7212  0.8664  0.1729
Sm  0.8048  0.4278  0.5206
Sm  0.8271  0.2788  0.1336
Sm  0.8664  0.1729  0.7212
Dy  0.0000  0.0000  0.0000
Sc  0.0730  0.1872  0.4620
Sc  0.1872  0.4620  0.0730
Sc  0.4620  0.0730  0.1872
Sc  0.5380  0.9270  0.8128
Sc  0.8128  0.5380  0.9270
Sc  0.9270  0.8128  0.5380

[3]
Below is crystalline Pm2PrZn3 at its relaxed geometry, with properties calculated at the GGA-PBE level.

Calculated values
formation enthalpy at 0 K	-0.307	eV/atom
volume	24.91	Å³/atom

Cell lengths 3.6769, 3.6769, 11.0542 Å; angles 90.00, 90.00, 90.00 degrees
Sites, in units of the cell vectors:
Pm  0.0000  0.0000  0.1648
Pm  0.0000  0.0000  0.8352
Pr  0.0000  0.0000  0.5000
Zn  0.5000  0.5000  0.0000
Zn  0.5000  0.5000  0.3276
Zn  0.5000  0.5000  0.6724

[4]
Below is crystalline GaCu3Pt at its relaxed geometry, with properties calculated at the GGA-PBE level.

Calculated values
formation enthalpy at 0 K	-0.089	eV/atom
volume	14.11	Å³/atom

Cell lengths 6.6384, 6.6384, 8.2676 Å; angles 104.46, 104.46, 23.61 degrees
Sites, in units of the cell vectors:
Ga  0.1300  0.1300  0.0516
Ga  0.8700  0.8700  0.9484
Cu  0.1064  0.1064  0.5387
Cu  0.3054  0.3054  0.6556
Cu  0.3215  0.3215  0.1974
Cu  0.6785  0.6785  0.8026
Cu  0.6946  0.6946  0.3444
Cu  0.8936  0.8936  0.4613
Pt  0.0028  0.0028  0.2331
Pt  0.9972  0.9972  0.7669

[5]
Below is crystalline GaCuF6 at its relaxed geometry, with properties calculated at the GGA-PBE level.

Calculated values
volume	12.94	Å³/atom
ΔE_f (raw)	-1.913	eV/atom

Cell lengths 5.1631, 5.1631, 4.8409 Å; angles 96.64, 96.64, 124.10 degrees
Sites, in units of the cell vectors:
Ga  0.0000  0.0000  0.0000
Cu  0.5000  0.5000  0.5000
F  0.1126  0.3864  0.2483
F  0.2493  0.2493  0.7492
F  0.3864  0.1126  0.2483
F  0.6136  0.8874  0.7517
F  0.7507  0.7507  0.2508
F  0.8874  0.6136  0.7517